*a*
TaTi3Cl: relaxed, GGA-PBE.

Crystal system: cubic

a b c (Å): 4.9452 4.9452 4.9452
angles (deg): 90.00 90.00 90.00
Space group Pm-3m (No. 221)
Inequivalent atoms, fractional coordinates:
Ta 0.0000 0.0000 0.0000
Ti 0.0000 0.0000 0.5000
Cl 0.5000 0.5000 0.5000

=====

*b*
TaTi3Cl: relaxed, GGA-PBE.

Crystal system: cubic

a b c (Å): 4.4421 4.4421 4.4421
angles (deg): 90.00 90.00 90.00
Space group Pm-3m (No. 221)
Inequivalent atoms, fractional coordinates:
Ta 0.0000 0.0000 0.0000
Ti 0.0000 0.5000 0.5000
Cl 0.5000 0.5000 0.5000

=====

How do the energies compare? Relative to the most stable structure, in kJ/mol of atoms: *a* 95.4; *b* 0.0.

=====

*a*
Ta2TlCl: relaxed, GGA-PBE.

Crystal system: cubic

a b c (Å): 6.6842 6.6842 6.6842
angles (deg): 90.00 90.00 90.00
Space group Fm-3m (No. 225)
Inequivalent atoms, fractional coordinates:
Ta 0.2500 0.2500 0.2500
Tl 0.0000 0.0000 0.0000
Cl 0.0000 0.0000 0.5000

=====

*b*
Ta2TlCl: relaxed, GGA-PBE.

Crystal system: tetragonal

a b c (Å): 2.9823 2.9823 8.3014
angles (deg): 90.00 90.00 90.00
Space group P4/mmm (No. 123)
Inequivalent atoms, fractional coordinates:
Ta 0.0000 0.0000 0.2230
Tl 0.5000 0.5000 0.5000
Cl 0.5000 0.5000 0.0000

=====

*c*
Ta2TlCl: relaxed, GGA-PBE.

Crystal system: monoclinic

a b c (Å): 5.6474 10.7236 3.2140
angles (deg): 90.00 121.00 90.00
Space group C2/m (No. 12)
Inequivalent atoms, fractional coordinates:
Ta 0.2500 0.2500 0.0000
Tl 0.0000 0.0000 0.0000
Cl 0.0000 0.5000 0.0000

=====

How do the energies compare? Relative to the most stable structure, in kJ/mol of atoms: *a* 10.1; *b* 9.5; *c* 0.0.

=====

*a*
Ta2TlCl: relaxed, GGA-PBE.

Crystal system: orthorhombic

a b c (Å): 4.7160 2.9755 11.5480
angles (deg): 90.00 90.00 90.00
Space group Amm2 (No. 38)
Inequivalent atoms, fractional coordinates:
Ta 0.0000 0.0000 0.0000
Ta 0.5000 0.0000 0.3938
Tl 0.5000 0.0000 0.6506
Cl 0.0000 0.0000 0.3252

=====

*b*
Ta2TlCl: relaxed, GGA-PBE.

Crystal system: orthorhombic

a b c (Å): 2.9917 3.5945 6.8843
angles (deg): 90.00 90.00 90.00
Space group Pmmm (No. 47)
Inequivalent atoms, fractional coordinates:
Ta 0.0000 0.0000 0.2183
Tl 0.5000 0.5000 0.5000
Cl 0.5000 0.5000 0.0000

=====

How do the energies compare? Relative to the most stable structure, in kJ/mol of atoms: *a* 0.0; *b* 43.2.

=====

*a*
Ta2TlCl: relaxed, GGA-PBE.

Crystal system: trigonal

a b c (Å): 3.0486 3.0486 27.9693
angles (deg): 90.00 90.00 120.00
Space group R-3m (No. 166, hexagonal axes)
Inequivalent atoms, fractional coordinates:
Ta 0.0000 0.0000 0.2435
Tl 0.0000 0.0000 0.0000
Cl 0.0000 0.0000 0.5000

=====

*b*
Ta2TlCl: relaxed, GGA-PBE.

Crystal system: tetragonal

a b c (Å): 4.0504 4.0504 21.0087
angles (deg): 90.00 90.00 90.00
Space group I-42d (No. 122)
Inequivalent atoms, fractional coordinates:
Ta 0.2385 0.2500 0.1250
Tl 0.0000 0.0000 0.0000
Cl 0.0000 0.0000 0.5000

=====

How do the energies compare? Relative to the most stable structure, in kJ/mol of atoms: *a* 0.0; *b* 34.5.

=====

*a*
Ta2TlCl: relaxed, GGA-PBE.

Crystal system: orthorhombic

a b c (Å): 2.9794 5.0955 5.3076
angles (deg): 90.00 90.00 90.00
Space group Pmmm (No. 47)
Inequivalent atoms, fractional coordinates:
Ta 0.0000 0.0000 0.0000
Ta 0.5000 0.0000 0.5000
Tl 0.0000 0.5000 0.5000
Cl 0.5000 0.5000 0.0000

=====

*b*
Ta2TlCl: relaxed, GGA-PBE.

Crystal system: monoclinic

a b c (Å): 3.0134 4.2397 6.0844
angles (deg): 90.00 94.52 90.00
Space group P2/m (No. 10)
Inequivalent atoms, fractional coordinates:
Ta 0.0573 0.0000 0.2712
Tl 0.5000 0.5000 0.0000
Cl 0.0000 0.5000 0.5000

=====

How do the energies compare? Relative to the most stable structure, in kJ/mol of atoms: *a* 3.4; *b* 0.0.

=====

*a*
Ta2Tl2Cl: relaxed, GGA-PBE.

Crystal system: tetragonal

a b c (Å): 4.2108 4.2108 13.4894
angles (deg): 90.00 90.00 90.00
Space group I4/mmm (No. 139)
Inequivalent atoms, fractional coordinates:
Ta 0.0000 0.0000 0.0943
Tl 0.0000 0.5000 0.2500
Cl 0.0000 0.0000 0.5000

=====

*b*
Ta2Tl2Cl: relaxed, GGA-PBE.

Crystal system: tetragonal

a b c (Å): 6.5346 6.5346 4.9455
angles (deg): 90.00 90.00 90.00
Space group P4/mbm (No. 127)
Inequivalent atoms, fractional coordinates:
Ta 0.1452 0.3548 0.0000
Tl 0.1697 0.6697 0.5000
Cl 0.0000 0.0000 0.0000

=====

How do the energies compare? Relative to the most stable structure, in kJ/mol of atoms: *a* 54.7; *b* 0.0.